(1)
## Y2SiNi (PBE)

Data for Y2SiNi after structural relaxation.

Unit cell a=6.160 b=6.160 c=6.160 alpha=147.10 beta=138.15 gamma=54.24
Element x y z (fractional)
Ni 0.459 0.459 0.000
Si 0.313 0.813 0.500
Y 0.000 0.000 0.000
Y 0.728 0.228 0.500

Calculated values
As for the density: 5.22 Mg/m³. Its space group is Imm2, No. 44. The uncorrected formation energy comes out at -0.490 eV/atom. The density of states at the Fermi level is 3.1 states/eV/cell.


(2)
## Cr2WC (PBE)

Data for Cr2WC after structural relaxation.

Unit cell a=2.914 b=4.548 c=6.856 alpha=90.00 beta=90.00 gamma=108.72
Element x y z (fractional)
Cr 0.351 0.704 0.561
Cr 0.649 0.296 0.439
Cr 0.351 0.704 0.939
Cr 0.649 0.296 0.061
W 0.935 0.869 0.250
W 0.065 0.131 0.750
C 0.766 0.533 0.750
C 0.234 0.467 0.250

Calculated values
For the formation energy, the calculation gives -0.02 eV/atom. As for the density: 11.57 Mg/m³. Its space group is Cmcm, No. 63. The density of states at the Fermi level is 5.5 states/eV/cell.


(3)
## Na2CeBiSe4 (PBE)

Data for Na2CeBiSe4 after structural relaxation.

Unit cell a=4.299 b=7.384 c=7.442 alpha=109.48 beta=90.00 gamma=90.00
Last column: magnetic moment on the atom in μB.
Element x y z (fractional)
Na 0.500 0.000 0.500  0.00
Na 0.000 0.500 0.500  0.00
Ce 0.500 0.500 0.000  0.91
Bi 0.000 0.000 0.000  0.01
Se 0.500 0.245 0.238  -0.01
Se 0.500 0.755 0.762  -0.01
Se 0.000 0.255 0.764  -0.01
Se 0.000 0.745 0.236  -0.01

Calculated values
As for the density: 5.30 Mg/m³. Its space group is P2/m, No. 10. The uncorrected formation energy comes out at -1.179 eV/atom. The density of states at the Fermi level is 5.3 states/eV/cell.